Entry 1:
A geometry-optimized InPCl3 structure. Source: Alexandria, functional PBE.

abc: 5.021 5.021 5.021
angles: 90.00 90.00 90.00
Positions (direct):
P 0.000 0.000 0.000
Cl 0.500 0.000 0.000
Cl 0.000 0.000 0.500
Cl 0.000 0.500 0.000
In 0.500 0.500 0.500

The relative energy among the computed polymorphs is 0 meV per atom. For the formation energy without anion corrections, the calculation gives -0.358 eV/atom.



Entry 2:
A geometry-optimized YPaIrPd structure. Source: Alexandria, functional PBE.

abc: 4.928 4.928 4.928
angles: 60.00 60.00 60.00
Positions (direct):
Pa 0.000 0.000 0.000
Pd 0.250 0.250 0.250
Y 0.500 0.500 0.500
Ir 0.750 0.750 0.750

The relative energy among the computed polymorphs is 229 meV per atom. The formation energy comes out at -0.64 eV/atom.



Entry 3:
A geometry-optimized Ce4Au2N structure. Source: Alexandria, functional PBE.

abc: 3.622 7.550 12.693
angles: 90.00 90.00 90.00
Positions (direct):
Ce 0.500 0.785 0.547
Ce 0.000 0.894 0.320
Ce 0.000 0.606 0.820
Ce 0.500 0.715 0.047
Ce 0.000 0.106 0.680
Ce 0.500 0.285 0.953
Ce 0.500 0.215 0.453
Ce 0.000 0.394 0.180
Au 0.500 0.073 0.163
Au 0.500 0.927 0.837
Au 0.500 0.573 0.337
Au 0.500 0.427 0.663
N 0.000 0.000 0.500
N 0.000 0.500 0.000

The relative energy among the computed polymorphs is 54 meV per atom. For the formation energy without anion corrections, the calculation gives -0.655 eV/atom.



Entry 4:
A geometry-optimized CuRhW2 structure. Source: Alexandria, functional PBE.

abc: 4.764 4.764 4.764
angles: 131.64 131.68 70.77
Positions (direct):
Cu 0.500 0.500 0.000
W 0.000 0.000 0.000
W 0.750 0.250 0.500
Rh 0.250 0.750 0.500

The relative energy among the computed polymorphs is 149 meV per atom. The formation energy comes out at 0.24 eV/atom.



Entry 5:
A geometry-optimized Ti2NbHg structure. Source: Alexandria, functional PBE.

abc: 3.331 3.331 6.550
angles: 90.00 90.00 90.00
Positions (direct):
Hg 0.500 0.500 0.500
Ti 0.000 0.000 0.772
Ti 0.000 0.000 0.228
Nb 0.500 0.500 0.000

The formation energy comes out at -0.08 eV/atom.



Entry 6:
A geometry-optimized NbW3Br structure. Source: Alexandria, functional PBE.

abc: 4.576 4.576 4.576
angles: 90.00 90.00 90.00
Positions (direct):
W 0.000 0.000 0.500
W 0.000 0.500 0.000
W 0.500 0.000 0.000
Br 0.000 0.000 0.000
Nb 0.500 0.500 0.500

The relative energy among the computed polymorphs is 0 meV per atom. For the formation energy without anion corrections, the calculation gives 2.038 eV/atom.



Entry 7:
A geometry-optimized RbGeSe4 structure. Source: Alexandria, functional PBE.

abc: 6.902 7.071 9.324
angles: 119.75 111.78 89.88
Positions (direct):
Se 0.784 0.414 0.151
Se 0.216 0.586 0.849
Se 0.904 0.909 0.543
Se 0.096 0.091 0.457
Se 0.638 0.408 0.542
Se 0.362 0.592 0.458
Se 0.366 0.914 0.151
Se 0.634 0.086 0.849
Ge 0.500 0.000 0.500
Ge 0.000 0.500 0.500
Rb 0.779 0.749 0.999
Rb 0.221 0.251 0.001

For the formation energy without anion corrections, the calculation gives -0.320 eV/atom.



Entry 8:
A geometry-optimized SbWCl2 structure. Source: Alexandria, functional PBE.

abc: 4.485 3.050 7.275
angles: 85.47 90.00 90.00
Positions (direct):
Sb 0.000 0.660 0.575
W 0.500 0.789 0.847
Cl 0.000 0.802 0.962
Cl 0.500 0.249 0.116

The relative energy among the computed polymorphs is 299 meV per atom. For the formation energy without anion corrections, the calculation gives 0.169 eV/atom.



Entry 9:
A geometry-optimized La3Nd2Sm6Dy structure. Source: Alexandria, functional PBE.

abc: 6.345 6.345 12.127
angles: 95.03 95.03 120.03
Positions (direct):
Sm 0.251 0.251 0.753
Sm 0.918 0.586 0.753
Sm 0.586 0.918 0.753
Sm 0.082 0.414 0.247
Sm 0.414 0.082 0.247
Sm 0.749 0.749 0.247
La 0.833 0.167 0.500
La 0.167 0.833 0.500
La 0.500 0.500 0.500
Dy 0.000 0.000 0.000
Nd 0.333 0.667 0.000
Nd 0.667 0.333 0.000

The formation energy comes out at 0.02 eV/atom.



no.,energy (eV per atom),magnetization (μB/cell)
1,-3.096,0.0
2,-8.145,0.0
3,-6.172,3.7
4,-9.101,0.0
5,-6.616,0.0
6,-8.082,0.0
7,-3.574,0.0
8,-5.023,0.0
9,-4.754,0.0